# La4SbTe2I

La4SbTe2I after structural relaxation (PBE-GGA, Alexandria).

M_tot in μB/f.u.: 0.00
Space group: P2/m, No. 10
Total energy in eV/cell: -42.77
Mass density in g/cm³: 6.4

Cell: 4.5928 7.9791 7.9631 Å, 70.64 90.00 90.00°
With the nearest neighbours (Å) after each atom.
Atoms (fractional coordinates):
1 La 0.0000 0.7513 0.7615  3 Te 3.17-3.29, 2 Sb 3.22, 1 I 3.34
2 La 0.0000 0.2487 0.2385  3 Te 3.17-3.29, 2 Sb 3.22, 1 I 3.34
3 La 0.5000 0.7611 0.2334  3 Te 3.16-3.29, 1 Sb 3.22, 2 I 3.34
4 La 0.5000 0.2389 0.7666  3 Te 3.16-3.29, 1 Sb 3.22, 2 I 3.34
5 Sb 0.5000 0.5000 0.0000  6 La 3.22
6 Te 0.0000 0.0000 0.0000  6 La 3.16-3.17
7 Te 0.5000 0.0000 0.5000  6 La 3.29
8 I 0.0000 0.5000 0.5000  6 La 3.34